This record from Alexandria via LeMat-Bulk describes Sr2Zn5Cu12 after structural relaxation. The functional is PBE.

Properties
**E**: -3.18 eV per atom
**ρ**: 7.2 g cm⁻³
**Energy of formation from the pure elements**: -0.08 eV per atom
**Magnetic moment**: 0.0 μB per formula unit

a b c (Å): 6.672 6.672 6.672
angles (deg): 83.26 83.26 83.26
Element x y z (fractional)
Sr1 0.649 0.649 0.649
Sr2 0.351 0.351 0.351
Zn1 0.000 0.000 0.500
Zn2 0.000 0.500 0.000
Zn3 0.500 0.000 0.000
Zn4 0.901 0.901 0.901
Zn5 0.099 0.099 0.099
Cu1 0.295 0.705 0.000
Cu2 0.705 0.000 0.295
Cu3 0.000 0.295 0.705
Cu4 0.705 0.295 0.000
Cu5 0.295 0.000 0.705
Cu6 0.000 0.705 0.295
Cu7 0.340 0.340 0.850
Cu8 0.340 0.850 0.340
Cu9 0.850 0.340 0.340
Cu10 0.660 0.150 0.660
Cu11 0.660 0.660 0.150
Cu12 0.150 0.660 0.660

This record from Alexandria via LeMat-Bulk describes Rb3Np3AsSe8 after structural relaxation. The functional is PBE.

Properties
**E**: -5.99 eV per atom
**Formation energy from raw total energies**: -1.037 eV per atom
**ρ**: 5.6 g cm⁻³
**Magnetic moment**: 11.0 μB per formula unit

a b c (Å): 8.433 8.432 9.436
angles (deg): 116.58 90.00 120.00
Element x y z (fractional)
Rb1 0.000 0.000 0.000
Rb2 0.000 0.500 0.000
Rb3 0.500 0.500 0.000
Np1 0.500 0.000 0.500
Np2 0.500 0.500 0.500
Np3 0.000 0.500 0.500
As1 0.000 0.000 0.500
Se1 0.268 0.536 0.305
Se2 0.732 0.464 0.695
Se3 0.778 0.555 0.316
Se4 0.222 0.445 0.684
Se5 0.778 0.038 0.316
Se6 0.222 0.962 0.684
Se7 0.260 0.038 0.316
Se8 0.740 0.962 0.684

This record from Alexandria via LeMat-Bulk describes VMoRh2 after structural relaxation. The functional is PBE.

Properties
**E**: -8.70 eV per atom
**Excess energy over the best structure of this formula in the dataset**: 237 meV per atom
**ρ**: 10.1 g cm⁻³
**Energy of formation from the pure elements**: -0.03 eV per atom
**Magnetic moment**: 0.0 μB per formula unit

a b c (Å): 4.342 4.342 4.344
angles (deg): 60.01 60.01 60.00
Element x y z (fractional)
V1 0.750 0.750 0.751
Mo1 0.500 0.500 0.500
Rh1 0.000 0.000 0.999
Rh2 0.250 0.250 0.250